[1]
# Ca3Ti2Ge3O12

Ca3Ti2Ge3O12 after structural relaxation (PBE, Alexandria via LeMat-Bulk).

Values from the calculation:
Raw formation energy ... -2.482 eV per atom
Raw total energy ... -7.24 eV/atom
Total magnetic moment ... 0.098 μB/atom
ρ ... 4.2 g/cm³
Volume ... 12.4 Å³ per atom

a = 12.5573 Å, b = 12.5573 Å, c = 12.5573 Å
α = 90.00°, β = 90.00°, γ = 90.00°
Closest atoms and distances in Å follow each position.
Space group Ia-3d (No. 230)
One atom of each set of equivalent atoms:
Ca  0.0000  0.2500  0.1250  8 O 2.42-2.57
Ti  0.0000  0.0000  0.0000  6 O 2.05
Ge  0.0000  0.2500  0.3750  4 O 1.80
O  0.0335  0.0498  0.6521  1 Ge 1.80


[2]
# Cd2CuRh

Cd2CuRh after structural relaxation (PBE, Alexandria via LeMat-Bulk).

Values from the calculation:
Raw total energy ... -3.34 eV/atom
Total magnetic moment ... 0.000 μB/atom
ρ ... 9.7 g/cm³
Volume ... 16.7 Å³ per atom

a = 3.0748 Å, b = 3.6641 Å, c = 5.9295 Å
α = 90.00°, β = 90.11°, γ = 90.00°
Closest atoms and distances in Å follow each position.
Space group P2/m (No. 10)
One atom of each set of equivalent atoms:
Cd  0.0007  0.0000  0.2511  4 Cu 2.81, 4 Rh 2.82, 4 Cd 2.95-3.07
Cu  0.5000  0.5000  0.5000  8 Cd 2.81, 2 Rh 2.96, 2 Cu 3.07
Rh  0.5000  0.5000  0.0000  8 Cd 2.82, 2 Cu 2.96, 2 Rh 3.07


[3]
# Cr2BiAu4

Cr2BiAu4 after structural relaxation (PBE, Alexandria via LeMat-Bulk).

Values from the calculation:
Raw total energy ... -4.36 eV/atom
Total magnetic moment ... 1.308 μB/atom
ρ ... 9.4 g/cm³
Volume ... 27.7 Å³ per atom

a = 5.3261 Å, b = 5.3261 Å, c = 13.6579 Å
α = 90.00°, β = 90.00°, γ = 90.00°
Closest atoms and distances in Å follow each position.
Space group I4/mmm (No. 139)
One atom of each set of equivalent atoms:
Cr  0.0000  0.0000  0.1032  1 Au 2.59, 1 Cr 2.82
Bi  0.0000  0.0000  0.5000  6 Au 2.66-2.83
Au  0.0000  0.0000  0.2928  1 Cr 2.59, 1 Bi 2.83
Au  0.0000  0.5000  0.0000  2 Bi 2.66


[4]
# YAl2AsP

YAl2AsP after structural relaxation (PBE, Alexandria via LeMat-Bulk).

Values from the calculation:
Raw total energy ... -3.60 eV/atom
Total magnetic moment ... 0.000 μB/atom
ρ ... 2.5 g/cm³
Volume ... 33.0 Å³ per atom

a = 5.5843 Å, b = 5.5843 Å, c = 5.2852 Å
α = 90.00°, β = 90.00°, γ = 90.00°
Closest atoms and distances in Å follow each position.
Space group P4/mmm (No. 123)
One atom of each set of equivalent atoms:
Y  0.0000  0.0000  0.0000  2 As 2.64, 4 Al 2.79
Al  0.0000  0.5000  0.0000  2 Y 2.79
As  0.0000  0.0000  0.5000  2 Y 2.64
P  0.5000  0.5000  0.5000  8 Al 3.84, 4 As 3.95


[5]
# ZnInWS2

ZnInWS2 after structural relaxation (PBE, Alexandria via LeMat-Bulk).

Values from the calculation:
Raw formation energy ... 0.050 eV per atom
Raw total energy ... -4.99 eV/atom
Total magnetic moment ... 0.000 μB/atom
ρ ... 6.3 g/cm³
Volume ... 22.5 Å³ per atom

a = 4.6629 Å, b = 4.6629 Å, c = 5.1825 Å
α = 90.00°, β = 90.00°, γ = 90.00°
Closest atoms and distances in Å follow each position.
Space group P4/mmm (No. 123)
One atom of each set of equivalent atoms:
Zn  0.0000  0.0000  0.0000  2 W 2.59
In  0.5000  0.5000  0.0000  4 Zn 3.30, 8 S 3.49
W  0.0000  0.0000  0.5000  4 S 2.33, 2 Zn 2.59
S  0.0000  0.5000  0.5000  2 W 2.33


[6]
# La2Tb3Sn4

La2Tb3Sn4 after structural relaxation (PBE, Alexandria via LeMat-Bulk).

Values from the calculation:
Raw total energy ... -5.24 eV/atom
Total magnetic moment ... 0.000 μB/atom
ρ ... 7.5 g/cm³
Volume ... 30.2 Å³ per atom

a = 8.4164 Å, b = 8.4331 Å, c = 8.1536 Å
α = 90.00°, β = 110.07°, γ = 90.00°
Closest atoms and distances in Å follow each position.
Space group P2_1/c (No. 14)
One atom of each set of equivalent atoms:
La  0.1925  0.1770  0.0646  7 Sn 3.25-3.64
Tb  0.2482  0.6684  0.2444  6 Sn 3.08-3.24
Tb  0.5000  0.0000  0.5000  6 Sn 3.20-3.32
Sn  0.0827  0.5398  0.8470  4 Tb 3.08-3.32, 1 La 3.31, 1 Sn 3.32
Sn  0.4905  0.1338  0.8634  5 Tb 3.12-3.27, 1 Sn 3.14, 2 La 3.25-3.45


[7]
# SmGdZr2

SmGdZr2 after structural relaxation (PBE, Alexandria via LeMat-Bulk).

Values from the calculation:
Raw total energy ... -8.82 eV/atom
Total magnetic moment ... 1.758 μB/atom
ρ ... 7.5 g/cm³
Volume ... 27.1 Å³ per atom

a = 4.7083 Å, b = 4.7083 Å, c = 4.8971 Å
α = 90.00°, β = 90.00°, γ = 90.00°
Closest atoms and distances in Å follow each position.
Space group P4/mmm (No. 123)
One atom of each set of equivalent atoms:
Sm  0.0000  0.0000  0.0000  4 Gd 3.33, 8 Zr 3.40
Gd  0.5000  0.5000  0.0000  4 Sm 3.33, 8 Zr 3.40
Zr  0.0000  0.5000  0.5000  4 Zr 3.33, 4 Gd 3.40, 4 Sm 3.40


[8]
# Ca2Ac4La5

Ca2Ac4La5 after structural relaxation (PBE, Alexandria via LeMat-Bulk).

Values from the calculation:
Raw total energy ... -4.06 eV/atom
Total magnetic moment ... 0.000 μB/atom
ρ ... 6.2 g/cm³
Volume ... 40.7 Å³ per atom

a = 19.5483 Å, b = 5.5092 Å, c = 8.6299 Å
α = 90.00°, β = 105.67°, γ = 90.00°
Closest atoms and distances in Å follow each position.
Space group C2/m (No. 12)
One atom of each set of equivalent atoms:
Ca  0.0462  0.0000  0.2308  6 Ac 3.85-3.93, 5 La 3.86-3.90, 1 Ca 3.91
Ac  0.0953  0.5000  0.9548  5 La 3.74-3.91, 3 Ac 3.87-4.01, 4 Ca 3.93
Ac  0.1405  0.0000  0.6839  8 La 3.75-3.91, 2 Ca 3.85-3.91, 2 Ac 3.87
La  0.0000  0.5000  0.5000  6 Ac 3.86-3.91, 4 Ca 3.86, 2 La 3.86
La  0.1848  0.5000  0.4180  4 Ac 3.75-3.91, 6 La 3.75-3.91, 2 Ca 3.90
La  0.2287  0.0000  0.1375  6 Ac 3.74-3.83, 5 La 3.75-3.91, 1 Ca 3.86


[9]
# CePdI6

CePdI6 after structural relaxation (PBE, Alexandria via LeMat-Bulk).

Values from the calculation:
Raw formation energy ... -0.713 eV per atom
Raw total energy ... -3.27 eV/atom
Total magnetic moment ... 0.000 μB/atom
ρ ... 4.6 g/cm³
Volume ... 45.5 Å³ per atom

a = 6.5258 Å, b = 7.8155 Å, c = 8.5071 Å
α = 64.06°, β = 69.97°, γ = 87.08°
Closest atoms and distances in Å follow each position.
Space group P-1 (No. 2)
One atom of each set of equivalent atoms:
Ce  0.0000  0.0000  0.0000  6 I 2.93-3.13
Pd  0.5000  0.5000  0.0000  4 I 2.64-2.66
I  0.0231  0.8034  0.3757  1 Ce 2.93
I  0.3010  0.3831  0.8329  1 Pd 2.66
I  0.4155  0.8491  0.8085  1 Pd 2.64


[10]
# Dy3ErHg3

Dy3ErHg3 after structural relaxation (PBE, Alexandria via LeMat-Bulk).

Values from the calculation:
Raw total energy ... -3.03 eV/atom
Total magnetic moment ... 0.000 μB/atom
ρ ... 10.9 g/cm³
Volume ... 27.3 Å³ per atom

a = 9.2567 Å, b = 9.2567 Å, c = 5.1497 Å
α = 90.00°, β = 90.00°, γ = 120.00°
Closest atoms and distances in Å follow each position.
Space group P6_3/m (No. 176)
One atom of each set of equivalent atoms:
Dy  0.0096  0.2454  0.2500  4 Hg 3.04-3.21, 4 Dy 3.41
Er  0.3333  0.6667  0.7500  9 Hg 3.18-3.51
Hg  0.0516  0.6110  0.2500  4 Dy 3.04-3.21, 2 Hg 3.13, 1 Er 3.18


[11]
# NaMgInBr4

NaMgInBr4 after structural relaxation (PBE, Alexandria via LeMat-Bulk).

Values from the calculation:
Raw formation energy ... -1.225 eV per atom
Raw total energy ... -2.99 eV/atom
Total magnetic moment ... 0.000 μB/atom
ρ ... 3.3 g/cm³
Volume ... 34.3 Å³ per atom

a = 7.3838 Å, b = 7.6719 Å, c = 8.8232 Å
α = 90.00°, β = 106.37°, γ = 90.00°
Closest atoms and distances in Å follow each position.
Space group P2_1/m (No. 11)
One atom of each set of equivalent atoms:
Na  0.2189  0.2500  0.0590  6 Br 3.02-3.19
Mg  0.2500  0.7500  0.8241  4 Br 2.49-2.53
In  0.2325  0.2500  0.5631  4 Br 3.18-3.39
Br  0.0168  0.5010  0.7768  1 Mg 2.53
Br  0.4518  0.7500  0.6403  1 Mg 2.49
Br  0.4669  0.7500  0.0983  1 Mg 2.50


[12]
# Nd2Sm8Tm

Nd2Sm8Tm after structural relaxation (PBE, Alexandria via LeMat-Bulk).

Values from the calculation:
Raw total energy ... -4.69 eV/atom
Total magnetic moment ... 0.000 μB/atom
ρ ... 7.4 g/cm³
Volume ... 33.7 Å³ per atom

a = 18.4667 Å, b = 5.1258 Å, c = 8.1104 Å
α = 90.00°, β = 105.31°, γ = 90.00°
Closest atoms and distances in Å follow each position.
Space group C2/m (No. 12)
One atom of each set of equivalent atoms:
Nd  0.2267  0.0000  0.1368  10 Sm 3.62-3.65, 2 Nd 3.64
Sm  0.0450  0.0000  0.2287  9 Sm 3.59-3.65, 2 Tm 3.61, 1 Nd 3.62
Sm  0.0899  0.5000  0.9517  1 Tm 3.60, 8 Sm 3.60-3.65, 3 Nd 3.63-3.64
Sm  0.1353  0.0000  0.6790  7 Sm 3.59-3.65, 2 Tm 3.61, 3 Nd 3.65
Sm  0.1809  0.5000  0.4092  1 Tm 3.61, 8 Sm 3.61-3.65, 3 Nd 3.63
Tm  0.0000  0.5000  0.5000  12 Sm 3.60-3.61


[13]
# KSiIr2

KSiIr2 after structural relaxation (PBE, Alexandria via LeMat-Bulk).

Values from the calculation:
Raw formation energy ... 0.870 eV per atom
Raw total energy ... -5.19 eV/atom
Total magnetic moment ... 0.000 μB/atom
ρ ... 11.3 g/cm³
Volume ... 16.6 Å³ per atom

a = 5.9292 Å, b = 8.0409 Å, c = 2.7796 Å
α = 90.00°, β = 90.00°, γ = 90.00°
Closest atoms and distances in Å follow each position.
Space group Cmmm (No. 65)
One atom of each set of equivalent atoms:
K  0.0000  0.0000  0.0000  2 K 2.78, 8 Ir 2.86, 2 Si 2.96
Si  0.0000  0.5000  0.0000  2 Si 2.78, 8 Ir 2.86, 2 K 2.96
Ir  0.2500  0.2500  0.5000  4 Ir 2.78-2.96, 4 K 2.86, 4 Si 2.86


[14]
# PrNd6DyY2

PrNd6DyY2 after structural relaxation (PBE, Alexandria via LeMat-Bulk).

Values from the calculation:
Raw total energy ... -4.98 eV/atom
Total magnetic moment ... 0.000 μB/atom
ρ ... 6.4 g/cm³
Volume ... 34.7 Å³ per atom

a = 9.5158 Å, b = 15.2550 Å, c = 9.6244 Å
α = 90.00°, β = 95.82°, γ = 90.00°
Closest atoms and distances in Å follow each position.
Space group C2/c (No. 15)
One atom of each set of equivalent atoms:
Pr  0.0000  0.0363  0.2500  4 Y 3.44-3.58, 6 Nd 3.56-3.75
Nd  0.0640  0.1749  0.9412  7 Nd 3.51-3.83, 2 Y 3.58-3.92, 2 Pr 3.73-3.75
Nd  0.0909  0.3859  0.1154  4 Nd 3.26-3.63, 3 Y 3.37-3.54, 2 Dy 3.51-3.56
Nd  0.2195  0.2240  0.3160  2 Nd 3.29-3.62, 1 Dy 3.48, 1 Y 3.53, 1 Pr 3.56
Dy  0.0000  0.4105  0.7500  6 Nd 3.48-3.56, 2 Y 3.55
Y  0.2490  0.4533  0.4475  6 Nd 3.37-3.72, 2 Pr 3.44-3.58, 1 Dy 3.55


[15]
# Hf6TaIn

Hf6TaIn after structural relaxation (PBE, Alexandria via LeMat-Bulk).

Values from the calculation:
Raw total energy ... -9.26 eV/atom
Total magnetic moment ... 0.000 μB/atom
ρ ... 13.1 g/cm³
Volume ... 21.6 Å³ per atom

a = 7.8714 Å, b = 7.8714 Å, c = 9.6481 Å
α = 90.00°, β = 90.00°, γ = 120.00°
Closest atoms and distances in Å follow each position.
Space group R-3 (No. 148, hexagonal axes)
One atom of each set of equivalent atoms:
Hf  0.0021  0.7517  0.2512  2 Hf 2.75-2.82
Ta  0.0000  0.0000  0.5000  12 Hf 3.10-3.11
In  0.0000  0.0000  0.0000  12 Hf 3.12


[16]
# Y15Ho4Th

Y15Ho4Th after structural relaxation (PBE, Alexandria via LeMat-Bulk).

Values from the calculation:
Raw total energy ... -6.11 eV/atom
Total magnetic moment ... 0.000 μB/atom
ρ ... 5.8 g/cm³
Volume ... 32.1 Å³ per atom

a = 5.0500 Å, b = 5.0500 Å, c = 25.1628 Å
α = 90.00°, β = 90.00°, γ = 90.00°
Closest atoms and distances in Å follow each position.
Space group P4/mmm (No. 123)
One atom of each set of equivalent atoms:
Y  0.0000  0.0000  0.0000  8 Y 3.55, 4 Th 3.57
Y  0.0000  0.0000  0.2012  8 Y 3.54-3.60, 4 Ho 3.57
Y  0.0000  0.0000  0.4000  8 Y 3.56, 4 Ho 3.57
Y  0.0000  0.5000  0.0994  2 Th 3.55, 8 Y 3.55-3.60, 2 Ho 3.58
Y  0.0000  0.5000  0.3000  8 Y 3.54-3.57, 4 Ho 3.56-3.57
Y  0.0000  0.5000  0.5000  4 Ho 3.56, 8 Y 3.56-3.57
Ho  0.5000  0.5000  0.2002  12 Y 3.56-3.58
Ho  0.5000  0.5000  0.4001  12 Y 3.56-3.57
Th  0.5000  0.5000  0.0000  12 Y 3.55-3.57


[17]
# CsSbPHPt

CsSbPHPt after structural relaxation (PBE, Alexandria via LeMat-Bulk).

Values from the calculation:
Raw total energy ... -4.25 eV/atom
Total magnetic moment ... 0.000 μB/atom
ρ ... 6.2 g/cm³
Volume ... 25.7 Å³ per atom

a = 4.6103 Å, b = 4.2671 Å, c = 6.7673 Å
α = 90.00°, β = 104.81°, γ = 90.00°
Closest atoms and distances in Å follow each position.
Space group Pm (No. 6)
One atom of each set of equivalent atoms:
Cs  0.0000  0.0000  0.0000  2 H 3.23-3.55, 1 Pt 3.58
Sb  0.6894  0.5000  0.4122  2 P 2.60-2.86, 2 H 2.70, 2 Pt 2.75
P  0.2404  0.5000  0.6360  2 H 2.35, 2 Pt 2.41, 1 Sb 2.60
H  0.0492  0.0000  0.5327  1 Pt 1.63
Pt  0.4057  0.0000  0.5398  1 H 1.63


[18]
# NdDyMgSn

NdDyMgSn after structural relaxation (PBE, Alexandria via LeMat-Bulk).

Values from the calculation:
Raw total energy ... -4.16 eV/atom
Total magnetic moment ... 0.000 μB/atom
ρ ... 6.8 g/cm³
Volume ... 27.4 Å³ per atom

a = 7.5981 Å, b = 7.5981 Å, c = 7.5981 Å
α = 90.00°, β = 90.00°, γ = 90.00°
Closest atoms and distances in Å follow each position.
Space group F-43m (No. 216)
One atom of each set of equivalent atoms:
Nd  0.0000  0.0000  0.0000  4 Sn 3.29, 4 Mg 3.29
Dy  0.0000  0.0000  0.5000  4 Sn 3.29, 4 Mg 3.29
Mg  0.2500  0.2500  0.7500  4 Dy 3.29, 4 Nd 3.29
Sn  0.2500  0.2500  0.2500  4 Dy 3.29, 4 Nd 3.29


[19]
# Dy3Tm4Sc

Dy3Tm4Sc after structural relaxation (PBE, Alexandria via LeMat-Bulk).

Values from the calculation:
Raw total energy ... -4.62 eV/atom
Total magnetic moment ... 0.000 μB/atom
ρ ... 8.2 g/cm³
Volume ... 30.5 Å³ per atom

a = 3.4354 Å, b = 8.6136 Å, c = 8.6137 Å
α = 82.22°, β = 78.62°, γ = 78.80°
Closest atoms and distances in Å follow each position.
Space group P-1 (No. 2)
One atom of each set of equivalent atoms:
Dy  0.0000  0.0000  0.0000  6 Dy 3.44-3.69, 8 Tm 3.77-3.79
Dy  0.2406  0.2599  0.2600  6 Tm 3.31-3.51, 4 Dy 3.44-3.69, 2 Sc 3.46-3.47
Tm  0.3622  0.8767  0.3912  1 Sc 3.22, 3 Dy 3.31-3.51, 5 Tm 3.36-3.44
Tm  0.3633  0.3914  0.8767  1 Sc 3.22, 3 Dy 3.31-3.51, 5 Tm 3.36-3.44
Sc  0.5000  0.5000  0.5000  4 Tm 3.22, 2 Sc 3.44, 4 Dy 3.46-3.47